Material: Rb3CaHg2F9
Method: DFT, PBE
State: relaxed

The structure belongs to space group P-3m1 (No. 164); the cell edges are 6.4833, 6.4833 and 7.9466 Å and the angles 90.00°, 90.00° and 120.00°. Symmetry generates all atoms from Rb at (0.0000, 0.0000, 0.0000), Rb at (0.3333, 0.6667, 0.6791), Ca at (0.0000, 0.0000, 0.5000), Hg at (0.3333, 0.6667, 0.1737), F at (0.0000, 0.5000, 0.0000) and F at (0.1626, 0.3251, 0.3361).

The value obtained for the raw formation energy is -239.0 kJ per mole of atoms.